(1)
# LiTaTiN3

A geometry-optimized LiTaTiN3 structure (PBE, Alexandria).

Summary:
As for the space group: P2_1/m (11). Its crystal system is monoclinic. The calculation puts the total moment at 0.00 μB per formula unit. The uncorrected formation energy is -0.866 eV per atom. The final energy comes out at -8.64 eV per atom. The calculation puts the volume at 9.97 A^3/atom.

The structure in CIF format:
```
data_LiTaTiN3
_cell_length_a 3.015
_cell_length_b 6.291
_cell_length_c 6.408
_cell_angle_alpha 100.36
_cell_angle_beta 90.00
_cell_angle_gamma 90.00
_space_group_name_H-M_alt 'P 1'
_space_group_IT_number 1
loop_
_space_group_symop_operation_xyz
'x,y,z'
loop_
_atom_site_label
_atom_site_type_symbol
_atom_site_fract_x
_atom_site_fract_y
_atom_site_fract_z
_atom_site_occupancy
Li1 Li 0.250 0.075 0.581 1
Li2 Li 0.750 0.925 0.419 1
Ta1 Ta 0.250 0.659 0.198 1
Ta2 Ta 0.750 0.341 0.802 1
Ti1 Ti 0.750 0.808 0.796 1
Ti2 Ti 0.250 0.192 0.204 1
N1 N 0.250 0.772 0.505 1
N2 N 0.750 0.885 0.127 1
N3 N 0.750 0.418 0.165 1
N4 N 0.750 0.228 0.495 1
N5 N 0.250 0.582 0.835 1
N6 N 0.250 0.115 0.873 1
```

(2)
# MgMo5

A geometry-optimized MgMo5 structure (PBE, Alexandria).

Summary:
As for the space group: F-43m (216). Its crystal system is cubic. The calculation puts the total moment at 0.00 μB per formula unit. The final energy comes out at -9.05 eV per atom. The calculation puts the volume at 16.93 A^3/atom. The excess energy over the best structure of this formula in the dataset is 0.19 eV/f.u. For the energy of formation, the calculation gives 1.5 eV/f.u.

The structure in CIF format:
```
data_MgMo5
_cell_length_a 5.238
_cell_length_b 5.238
_cell_length_c 5.238
_cell_angle_alpha 60.00
_cell_angle_beta 60.00
_cell_angle_gamma 60.00
_space_group_name_H-M_alt 'P 1'
_space_group_IT_number 1
loop_
_space_group_symop_operation_xyz
'x,y,z'
loop_
_atom_site_label
_atom_site_type_symbol
_atom_site_fract_x
_atom_site_fract_y
_atom_site_fract_z
_atom_site_occupancy
Mg1 Mg 0.000 0.000 0.000 1
Mo1 Mo 0.876 0.375 0.375 1
Mo2 Mo 0.750 0.750 0.750 1
Mo3 Mo 0.375 0.876 0.375 1
Mo4 Mo 0.375 0.375 0.375 1
Mo5 Mo 0.375 0.375 0.876 1
```

(3)
# AlPd14Au

A geometry-optimized AlPd14Au structure (PBE, Alexandria).

Summary:
As for the space group: Amm2 (38). Its crystal system is orthorhombic. The calculation puts the total moment at 0.00 μB per formula unit. The final energy comes out at -5.13 eV per atom. The calculation puts the volume at 15.46 A^3/atom. For the energy of formation, the calculation gives -2.3 eV/f.u.

The structure in CIF format:
```
data_AlPd14Au
_cell_length_a 5.582
_cell_length_b 5.582
_cell_length_c 9.160
_cell_angle_alpha 90.00
_cell_angle_beta 90.00
_cell_angle_gamma 119.93
_space_group_name_H-M_alt 'P 1'
_space_group_IT_number 1
loop_
_space_group_symop_operation_xyz
'x,y,z'
loop_
_atom_site_label
_atom_site_type_symbol
_atom_site_fract_x
_atom_site_fract_y
_atom_site_fract_z
_atom_site_occupancy
Al1 Al 0.541 0.459 0.500 1
Pd1 Pd 0.209 0.791 0.000 1
Pd2 Pd 0.708 0.292 0.000 1
Pd3 Pd 0.039 0.457 0.500 1
Pd4 Pd 0.210 0.292 0.000 1
Pd5 Pd 0.543 0.961 0.500 1
Pd6 Pd 0.708 0.790 0.000 1
Pd7 Pd 0.378 0.129 0.747 1
Pd8 Pd 0.378 0.129 0.253 1
Pd9 Pd 0.871 0.622 0.747 1
Pd10 Pd 0.871 0.622 0.253 1
Pd11 Pd 0.377 0.623 0.745 1
Pd12 Pd 0.377 0.623 0.255 1
Pd13 Pd 0.874 0.126 0.753 1
Pd14 Pd 0.874 0.126 0.247 1
Au1 Au 0.040 0.960 0.500 1
```

(4)
# RbTa2Re

A geometry-optimized RbTa2Re structure (PBE, Alexandria).

Summary:
As for the space group: I4_1/amd (141). Its crystal system is tetragonal. The calculation puts the total moment at 0.00 μB per formula unit. The final energy comes out at -7.41 eV per atom. The calculation puts the volume at 32.76 A^3/atom. The excess energy over the best structure of this formula in the dataset is 1.38 eV/f.u. For the energy of formation, the calculation gives 7.5 eV/f.u.

The structure in CIF format:
```
data_RbTa2Re
_cell_length_a 5.590
_cell_length_b 5.590
_cell_length_c 9.271
_cell_angle_alpha 72.45
_cell_angle_beta 72.45
_cell_angle_gamma 90.00
_space_group_name_H-M_alt 'P 1'
_space_group_IT_number 1
loop_
_space_group_symop_operation_xyz
'x,y,z'
loop_
_atom_site_label
_atom_site_type_symbol
_atom_site_fract_x
_atom_site_fract_y
_atom_site_fract_z
_atom_site_occupancy
Re1 Re 0.000 0.000 0.000 1
Re2 Re 0.750 0.250 0.500 1
Rb1 Rb 0.500 0.500 0.000 1
Rb2 Rb 0.250 0.750 0.500 1
Ta1 Ta 0.875 0.125 0.250 1
Ta2 Ta 0.875 0.625 0.250 1
Ta3 Ta 0.375 0.125 0.750 1
Ta4 Ta 0.875 0.125 0.750 1
```

(5)
# Nd12Dy3Hg

A geometry-optimized Nd12Dy3Hg structure (PBE, Alexandria).

Summary:
As for the space group: P4/mmm (123). Its crystal system is tetragonal. The calculation puts the total moment at 0.00 μB per formula unit. The final energy comes out at -4.48 eV per atom. The calculation puts the volume at 33.33 A^3/atom. For the energy of formation, the calculation gives -0.4 eV/f.u.

The structure in CIF format:
```
data_Nd12Dy3Hg
_cell_length_a 5.083
_cell_length_b 5.083
_cell_length_c 20.641
_cell_angle_alpha 90.00
_cell_angle_beta 90.00
_cell_angle_gamma 90.00
_space_group_name_H-M_alt 'P 1'
_space_group_IT_number 1
loop_
_space_group_symop_operation_xyz
'x,y,z'
loop_
_atom_site_label
_atom_site_type_symbol
_atom_site_fract_x
_atom_site_fract_y
_atom_site_fract_z
_atom_site_occupancy
Nd1 Nd 0.500 0.500 0.000 1
Nd2 Nd 0.500 0.500 0.245 1
Nd3 Nd 0.500 0.500 0.500 1
Nd4 Nd 0.500 0.500 0.755 1
Nd5 Nd 0.500 0.000 0.121 1
Nd6 Nd 0.500 0.000 0.373 1
Nd7 Nd 0.500 0.000 0.627 1
Nd8 Nd 0.500 0.000 0.879 1
Nd9 Nd 0.000 0.500 0.121 1
Nd10 Nd 0.000 0.500 0.373 1
Nd11 Nd 0.000 0.500 0.627 1
Nd12 Nd 0.000 0.500 0.879 1
Dy1 Dy 0.000 0.000 0.247 1
Dy2 Dy 0.000 0.000 0.500 1
Dy3 Dy 0.000 0.000 0.753 1
Hg1 Hg 0.000 0.000 0.000 1
```

(6)
# SrTa2PbC

A geometry-optimized SrTa2PbC structure (PBE, Alexandria).

Summary:
As for the space group: P4/mmm (123). Its crystal system is tetragonal. The calculation puts the total moment at 0.00 μB per formula unit. The final energy comes out at -7.34 eV per atom. The calculation puts the volume at 20.43 A^3/atom. For the energy of formation, the calculation gives 1.6 eV/f.u.

The structure in CIF format:
```
data_SrTa2PbC
_cell_length_a 4.401
_cell_length_b 5.273
_cell_length_c 4.401
_cell_angle_alpha 90.00
_cell_angle_beta 90.00
_cell_angle_gamma 90.00
_space_group_name_H-M_alt 'P 1'
_space_group_IT_number 1
loop_
_space_group_symop_operation_xyz
'x,y,z'
loop_
_atom_site_label
_atom_site_type_symbol
_atom_site_fract_x
_atom_site_fract_y
_atom_site_fract_z
_atom_site_occupancy
Pb1 Pb 0.500 0.500 0.500 1
Sr1 Sr 0.000 0.500 0.000 1
C1 C 0.000 0.000 0.000 1
Ta1 Ta 0.000 0.000 0.500 1
Ta2 Ta 0.500 0.000 0.000 1
```

(7)
# Ac2MgGePt6

A geometry-optimized Ac2MgGePt6 structure (PBE, Alexandria).

Summary:
As for the space group: P-1 (2). Its crystal system is triclinic. The calculation puts the total moment at 0.00 μB per formula unit. The final energy comes out at -5.92 eV per atom. The calculation puts the volume at 21.99 A^3/atom. For the energy of formation, the calculation gives -8.5 eV/f.u.

The structure in CIF format:
```
data_Ac2MgGePt6
_cell_length_a 6.686
_cell_length_b 7.049
_cell_length_c 7.044
_cell_angle_alpha 46.87
_cell_angle_beta 78.04
_cell_angle_gamma 97.18
_space_group_name_H-M_alt 'P 1'
_space_group_IT_number 1
loop_
_space_group_symop_operation_xyz
'x,y,z'
loop_
_atom_site_label
_atom_site_type_symbol
_atom_site_fract_x
_atom_site_fract_y
_atom_site_fract_z
_atom_site_occupancy
Ac1 Ac 0.713 0.255 0.543 1
Ac2 Ac 0.287 0.745 0.457 1
Mg1 Mg 0.000 0.000 0.000 1
Ge1 Ge 0.500 0.500 0.000 1
Pt1 Pt 0.252 0.240 0.494 1
Pt2 Pt 0.896 0.750 0.857 1
Pt3 Pt 0.253 0.745 0.990 1
Pt4 Pt 0.747 0.255 0.010 1
Pt5 Pt 0.104 0.250 0.143 1
Pt6 Pt 0.748 0.760 0.506 1
```

(8)
# ZnIrOs3

A geometry-optimized ZnIrOs3 structure (PBE, Alexandria).

Summary:
As for the space group: Pm-3m (221). Its crystal system is cubic. The calculation puts the total moment at 0.00 μB per formula unit. The final energy comes out at -6.54 eV per atom. The calculation puts the volume at 16.97 A^3/atom. The excess energy over the best structure of this formula in the dataset is 0.00 eV/f.u. For the energy of formation, the calculation gives 11.1 eV/f.u.

The structure in CIF format:
```
data_ZnIrOs3
_cell_length_a 4.394
_cell_length_b 4.394
_cell_length_c 4.394
_cell_angle_alpha 90.00
_cell_angle_beta 90.00
_cell_angle_gamma 90.00
_space_group_name_H-M_alt 'P 1'
_space_group_IT_number 1
loop_
_space_group_symop_operation_xyz
'x,y,z'
loop_
_atom_site_label
_atom_site_type_symbol
_atom_site_fract_x
_atom_site_fract_y
_atom_site_fract_z
_atom_site_occupancy
Zn1 Zn 0.000 0.000 0.000 1
Ir1 Ir 0.500 0.500 0.500 1
Os1 Os 0.000 0.500 0.000 1
Os2 Os 0.000 0.000 0.500 1
Os3 Os 0.500 0.000 0.000 1
```

(9)
# BeCrBi3

A geometry-optimized BeCrBi3 structure (PBE, Alexandria).

Summary:
As for the space group: Pm-3m (221). Its crystal system is cubic. The calculation puts the total moment at 0.45 μB per formula unit. The final energy comes out at -3.81 eV per atom. The calculation puts the volume at 25.70 A^3/atom. The excess energy over the best structure of this formula in the dataset is 1.24 eV/f.u. For the energy of formation, the calculation gives 6.0 eV/f.u.

The structure in CIF format:
```
data_BeCrBi3
_cell_length_a 5.046
_cell_length_b 5.046
_cell_length_c 5.046
_cell_angle_alpha 90.00
_cell_angle_beta 90.00
_cell_angle_gamma 90.00
_space_group_name_H-M_alt 'P 1'
_space_group_IT_number 1
loop_
_space_group_symop_operation_xyz
'x,y,z'
loop_
_atom_site_label
_atom_site_type_symbol
_atom_site_fract_x
_atom_site_fract_y
_atom_site_fract_z
_atom_site_occupancy
Cr1 Cr 0.500 0.500 0.500 1
Bi1 Bi 0.000 0.500 0.000 1
Bi2 Bi 0.000 0.000 0.500 1
Bi3 Bi 0.500 0.000 0.000 1
Be1 Be 0.000 0.000 0.000 1
```

(10)
# LaNiPbAu2

A geometry-optimized LaNiPbAu2 structure (PBE, Alexandria).

Summary:
As for the space group: P4/mmm (123). Its crystal system is tetragonal. The calculation puts the total moment at 0.79 μB per formula unit. The final energy comes out at -3.15 eV per atom. The calculation puts the volume at 39.70 A^3/atom. For the energy of formation, the calculation gives 5.2 eV/f.u.

The structure in CIF format:
```
data_LaNiPbAu2
_cell_length_a 5.552
_cell_length_b 6.439
_cell_length_c 5.552
_cell_angle_alpha 90.00
_cell_angle_beta 90.00
_cell_angle_gamma 90.00
_space_group_name_H-M_alt 'P 1'
_space_group_IT_number 1
loop_
_space_group_symop_operation_xyz
'x,y,z'
loop_
_atom_site_label
_atom_site_type_symbol
_atom_site_fract_x
_atom_site_fract_y
_atom_site_fract_z
_atom_site_occupancy
Pb1 Pb 0.000 0.500 0.000 1
Ni1 Ni 0.500 0.500 0.500 1
Au1 Au 0.000 0.000 0.500 1
Au2 Au 0.500 0.000 0.000 1
La1 La 0.000 0.000 0.000 1
```

(11)
# Ca3HfS

A geometry-optimized Ca3HfS structure (PBE, Alexandria).

Summary:
As for the space group: Pm-3m (221). Its crystal system is cubic. The calculation puts the total moment at 2.33 μB per formula unit. The uncorrected formation energy is -0.200 eV per atom. The final energy comes out at -4.22 eV per atom. The calculation puts the volume at 31.60 A^3/atom. The excess energy over the best structure of this formula in the dataset is 0.00 eV/f.u.

The structure in CIF format:
```
data_Ca3HfS
_cell_length_a 5.406
_cell_length_b 5.406
_cell_length_c 5.406
_cell_angle_alpha 90.00
_cell_angle_beta 90.00
_cell_angle_gamma 90.00
_space_group_name_H-M_alt 'P 1'
_space_group_IT_number 1
loop_
_space_group_symop_operation_xyz
'x,y,z'
loop_
_atom_site_label
_atom_site_type_symbol
_atom_site_fract_x
_atom_site_fract_y
_atom_site_fract_z
_atom_site_occupancy
Ca1 Ca 0.000 0.500 0.000 1
Ca2 Ca 0.000 0.000 0.500 1
Ca3 Ca 0.500 0.000 0.000 1
Hf1 Hf 0.500 0.500 0.500 1
S1 S 0.000 0.000 0.000 1
```

(12)
# Zr3NbCd

A geometry-optimized Zr3NbCd structure (PBE, Alexandria).

Summary:
As for the space group: Pm-3m (221). Its crystal system is cubic. The calculation puts the total moment at 3.15 μB per formula unit. The final energy comes out at -5.89 eV per atom. The calculation puts the volume at 27.68 A^3/atom. The excess energy over the best structure of this formula in the dataset is 6.21 eV/f.u. For the energy of formation, the calculation gives 7.2 eV/f.u.

The structure in CIF format:
```
data_Zr3NbCd
_cell_length_a 5.172
_cell_length_b 5.172
_cell_length_c 5.172
_cell_angle_alpha 90.00
_cell_angle_beta 90.00
_cell_angle_gamma 90.00
_space_group_name_H-M_alt 'P 1'
_space_group_IT_number 1
loop_
_space_group_symop_operation_xyz
'x,y,z'
loop_
_atom_site_label
_atom_site_type_symbol
_atom_site_fract_x
_atom_site_fract_y
_atom_site_fract_z
_atom_site_occupancy
Nb1 Nb 0.500 0.500 0.500 1
Zr1 Zr 0.000 0.500 0.000 1
Zr2 Zr 0.000 0.000 0.500 1
Zr3 Zr 0.500 0.000 0.000 1
Cd1 Cd 0.000 0.000 0.000 1
```